VASP calculation (PBE-GGA) on a relaxed structure of Sn5Pd2Au2.

a b c (Å): 7.205 7.092 9.502
angles (deg): 111.91 112.28 90.00
Atoms (fractional coordinates):
Au  0.237  0.388  0.500
Au  0.500  0.401  0.000
Au  0.763  0.888  0.500
Au  0.000  0.901  0.000
Pd  0.581  0.146  0.181
Pd  0.900  0.465  0.819
Pd  0.419  0.965  0.819
Pd  0.100  0.646  0.181
Sn  0.913  0.290  0.148
Sn  0.542  0.207  0.691
Sn  0.866  0.282  0.500
Sn  0.649  0.707  0.691
Sn  0.458  0.515  0.309
Sn  0.351  0.015  0.309
Sn  0.087  0.142  0.852
Sn  0.736  0.790  0.148
Sn  0.134  0.782  0.500
Sn  0.264  0.642  0.852

- DOS(E_F) (states/eV per cell) = 8.27
- total moment (μB/cell) = 0.00
- space group = Ima2, No. 46
- E_form (meV/atom) = -251.8